# 1
## Ta2Be2Ga (PBE)

Data for an optimized crystal structure of Ta2Be2Ga.

Lattice parameters (Å, degrees): 6.0690 6.0690 3.5936 90.00 90.00 90.00
Closest atoms and distances in Å follow each position.
Fractional positions:
Be1 0.8823 0.6177 0.0000  1 Be 2.02
Ta1 0.3226 0.1774 0.5000  6 Be 2.51-2.56
Ga1 0.5000 0.5000 0.0000  4 Be 2.43
Be2 0.1177 0.3823 0.0000  1 Be 2.02
Ta2 0.1774 0.6774 0.5000  6 Be 2.51-2.56
Be3 0.6177 0.1177 0.0000  1 Be 2.02
Ga2 0.0000 0.0000 0.0000  4 Be 2.43
Be4 0.3823 0.8823 0.0000  1 Be 2.02
Ta3 0.6774 0.8226 0.5000  6 Be 2.51-2.56
Ta4 0.8226 0.3226 0.5000  6 Be 2.51-2.56

Results
Energy of formation in eV per atom: -0.214
Excess energy over the best structure of this formula in the dataset in meV per atom: 19

---

# 2
## Pu3TlCl8 (PBE)

Data for an optimized crystal structure of Pu3TlCl8.

Lattice parameters (Å, degrees): 8.3312 8.3312 9.1791 63.01 63.01 60.00
Closest atoms and distances in Å follow each position.
Fractional positions:
Cl1 0.7565 0.2903 0.1967  2 Pu 2.79
Cl2 0.7565 0.7565 0.1967  2 Pu 2.79
Tl1 0.5000 0.5000 0.5000  6 Cl 3.26
Cl3 0.2435 0.7097 0.8033  2 Pu 2.79
Cl4 0.2688 0.2688 0.1935  3 Pu 2.84
Cl5 0.2903 0.7565 0.1967  2 Pu 2.79
Cl6 0.7312 0.7312 0.8065  3 Pu 2.84
Pu1 0.5000 0.5000 0.0000  6 Cl 2.79-2.84
Cl7 0.7097 0.2435 0.8033  2 Pu 2.79
Pu2 0.0000 0.5000 0.0000  6 Cl 2.79-2.84
Cl8 0.2435 0.2435 0.8033  2 Pu 2.79
Pu3 0.5000 0.0000 0.0000  6 Cl 2.79-2.84

Results
Energy relative to the elements, uncorrected in eV per atom: -1.726

---

# 3
## MgSiSn (PBE)

Data for an optimized crystal structure of MgSiSn.

Lattice parameters (Å, degrees): 5.6088 4.0513 12.7872 90.00 97.96 90.00
Closest atoms and distances in Å follow each position.
Fractional positions:
Mg1 0.7234 0.5000 0.4548  4 Si 2.76-2.82, 1 Sn 2.83
Sn1 0.3474 0.0000 0.0817  2 Si 2.67, 1 Mg 2.83, 1 Sn 2.90
Mg2 0.7797 0.0000 0.7095  3 Si 2.72-2.81
Sn2 0.4041 0.5000 0.8104  2 Si 2.75-2.97, 1 Sn 2.90
Si1 0.0374 0.5000 0.0446  1 Si 2.41, 2 Sn 2.67
Si2 0.9378 0.5000 0.8552  1 Si 2.41
Mg3 0.7797 0.5000 0.2095  3 Si 2.72-2.81
Si3 0.0374 0.0000 0.5446  1 Si 2.41, 2 Sn 2.67
Si4 0.9378 0.0000 0.3552  1 Si 2.41
Sn3 0.4041 0.0000 0.3104  2 Si 2.75-2.97, 1 Sn 2.90
Sn4 0.3474 0.5000 0.5817  2 Si 2.67, 1 Mg 2.83, 1 Sn 2.90
Mg4 0.7234 0.0000 0.9548  4 Si 2.76-2.82, 1 Sn 2.83

Results
Excess energy over the best structure of this formula in the dataset in meV per atom: 71
Energy relative to the elements, uncorrected in eV per atom: 0.086

---

# 4
## YFe3Ag (PBE)

Data for an optimized crystal structure of YFe3Ag.

Lattice parameters (Å, degrees): 4.7485 4.7485 4.7485 90.00 90.00 90.00
Closest atoms and distances in Å follow each position.
Fractional positions:
Fe1 0.0000 0.5000 0.0000  2 Ag 2.37
Ag1 0.0000 0.0000 0.0000  6 Fe 2.37
Y1 0.5000 0.5000 0.5000  12 Fe 3.36
Fe2 0.0000 0.0000 0.5000  2 Ag 2.37
Fe3 0.5000 0.0000 0.0000  2 Ag 2.37

Results
Energy of formation in eV per atom: 1.064
Excess energy over the best structure of this formula in the dataset in meV per atom: 0

---

no.,V (Å³/atom)
1,13.24
2,39.16
3,23.98
4,21.41